The following is a DFT calculation (GGA-PBE) of an optimized crystal structure of Cd4InGa.

a = 12.7189 Å, b = 8.4184 Å, c = 5.5940 Å
α = 90.00°, β = 106.12°, γ = 90.00°
Closest atoms and distances in Å follow each position.
Space group C2/m (No. 12)
One atom of each set of equivalent atoms:
Cd 0.0000 0.2288 0.0000 [4 per cell]  2 Ga 2.97, 2 In 3.05, 6 Cd 3.16-3.26
Cd 0.1255 0.1873 0.5686 [8 per cell]  1 Ga 2.95, 6 Cd 3.01-3.26, 1 In 3.30
Cd 0.1647 0.5000 0.2850 [4 per cell]  3 Ga 2.94-3.10, 6 Cd 3.01-3.21, 1 In 3.24
In 0.1936 0.0000 0.1152 [4 per cell]  1 Ga 2.90, 3 Cd 3.05-3.24
Ga 0.0686 0.5000 0.7378 [4 per cell]  1 Ga 2.75, 1 In 2.90, 6 Cd 2.94-2.97

Computed properties:
**Final energy**: -36.3 eV for the cell shown
**Formation energy**: 60 meV per atom
**Excess energy over the best structure of this formula in the dataset**: 18 kJ/mol of formula units